Record 1
A geometry-optimized YRe2Sb structure, computed with GGA-PBE.

Cell lengths 4.312, 4.312, 6.032 Å; angles 69.05, 69.05, 60.02 degrees
Sites, in units of the cell vectors:
Y 0.744 0.744 0.769
Sb 0.527 0.527 0.419
Re 0.959 0.959 0.123
Re 0.270 0.270 0.189

## Properties
Mass density ... 10.943 g/cm³
Energy relative to the elements, uncorrected ... -0.053 eV per atom



Record 2
A geometry-optimized AcHgSb4 structure, computed with GGA-PBE.

Cell lengths 6.381, 6.381, 6.381 Å; angles 60.00, 60.00, 60.00 degrees
Sites, in units of the cell vectors:
Sb 0.628 0.628 0.116
Sb 0.628 0.628 0.628
Sb 0.116 0.628 0.628
Sb 0.628 0.116 0.628
Hg 0.000 0.000 0.000
Ac 0.250 0.250 0.250

## Properties
Mass density ... 8.266 g/cm³
Energy relative to the elements, uncorrected ... -0.246 eV per atom



Record 3
A geometry-optimized ErAgSn structure, computed with GGA-PBE.

Cell lengths 4.528, 7.379, 12.641 Å; angles 89.85, 90.00, 90.00 degrees
Sites, in units of the cell vectors:
Ag 0.250 0.356 0.207
Ag 0.750 0.000 0.911
Ag 0.750 0.644 0.793
Ag 0.750 0.145 0.542
Ag 0.250 0.855 0.458
Ag 0.250 0.000 0.089
Er 0.750 0.672 0.079
Er 0.250 0.482 0.631
Er 0.250 0.328 0.921
Er 0.250 0.982 0.699
Er 0.750 0.018 0.301
Er 0.750 0.518 0.369
Sn 0.750 0.251 0.090
Sn 0.250 0.734 0.248
Sn 0.250 0.749 0.910
Sn 0.250 0.247 0.424
Sn 0.750 0.266 0.752
Sn 0.750 0.753 0.576

## Properties
Energy relative to the elements ... -0.5474 eV/atom
Mass density ... 9.290 g/cm³



Record 4
A geometry-optimized Cs2BeI structure, computed with GGA-PBE.

Cell lengths 10.032, 10.032, 8.684 Å; angles 54.72, 54.72, 90.00 degrees
Last column: magnetic moment on the atom in μB.
Sites, in units of the cell vectors:
Be 0.500 0.500 0.000  0.12
Be 0.250 0.750 0.500  0.12
I 0.000 0.000 0.000  0.01
I 0.750 0.250 0.500  0.01
Cs 0.875 0.873 0.750  0.02
Cs 0.127 0.625 0.250  0.02
Cs 0.375 0.377 0.750  0.02
Cs 0.623 0.125 0.250  0.02

## Properties
Mass density ... 2.646 g/cm³
Energy relative to the elements, uncorrected ... 0.028 eV per atom



Record 5
A geometry-optimized Ti3CdN structure, computed with GGA-PBE.

Cell lengths 4.381, 6.070, 6.107 Å; angles 90.00, 89.98, 90.00 degrees
Sites, in units of the cell vectors:
Ti 0.250 0.996 0.887
Ti 0.250 0.504 0.887
Ti 0.750 0.496 0.113
Ti 0.250 0.250 0.322
Ti 0.750 0.004 0.113
Ti 0.750 0.750 0.678
Cd 0.750 0.250 0.697
Cd 0.250 0.750 0.303
N 0.749 0.250 0.320
N 0.251 0.750 0.680

## Properties
Mass density ... 5.522 g/cm³
Energy relative to the elements, uncorrected ... -0.284 eV per atom



Record 6
A geometry-optimized Sr3SiW structure, computed with GGA-PBE.

Cell lengths 5.982, 5.982, 5.982 Å; angles 90.00, 90.00, 90.00 degrees
Last column: magnetic moment on the atom in μB.
Sites, in units of the cell vectors:
Sr 0.000 0.000 0.500  0.05
Sr 0.500 0.000 0.000  0.03
Sr 0.000 0.500 0.000  0.06
Si 0.000 0.000 0.000  0.07
W 0.500 0.500 0.500  3.33

## Properties
Mass density ... 3.684 g/cm³
Energy relative to the elements, uncorrected ... 1.027 eV per atom



Record 7
A geometry-optimized La4GeBiSe2 structure, computed with GGA-PBE.

Cell lengths 4.465, 7.654, 7.787 Å; angles 70.42, 90.00, 90.00 degrees
Sites, in units of the cell vectors:
La 0.500 0.747 0.262
La 0.000 0.245 0.264
La 0.500 0.253 0.738
La 0.000 0.755 0.736
Ge 0.000 0.500 0.500
Bi 0.500 0.500 0.000
Se 0.000 0.000 0.000
Se 0.500 0.000 0.500

## Properties
Mass density ... 6.590 g/cm³
Energy relative to the elements, uncorrected ... -1.483 eV per atom



Record 8
A geometry-optimized NiMo2P structure, computed with GGA-PBE.

Cell lengths 4.354, 4.354, 2.819 Å; angles 90.00, 90.00, 90.00 degrees
Sites, in units of the cell vectors:
Ni 0.500 0.500 0.500
P 0.000 0.000 0.500
Mo 0.500 0.000 0.000
Mo 0.000 0.500 0.000

## Properties
Energy relative to the elements ... -0.1434 eV/atom
Mass density ... 8.749 g/cm³



What did the seventh record say?
A geometry-optimized La4GeBiSe2 structure, computed with GGA-PBE.

Cell lengths 4.465, 7.654, 7.787 Å; angles 70.42, 90.00, 90.00 degrees
Sites, in units of the cell vectors:
La 0.500 0.747 0.262
La 0.000 0.245 0.264
La 0.500 0.253 0.738
La 0.000 0.755 0.736
Ge 0.000 0.500 0.500
Bi 0.500 0.500 0.000
Se 0.000 0.000 0.000
Se 0.500 0.000 0.500

## Properties
Mass density ... 6.590 g/cm³
Energy relative to the elements, uncorrected ... -1.483 eV per atom



Q: Look up the mass density of the eighth one.
A: 8.749 g/cm³